Below is a geometry-optimized Th6RuRh5 structure, with properties calculated at the PBE-GGA level.

- DOS(E_F) (states/eV/f.u.) = 7.26
- electronic total energy (eV/atom) = -8.37

Lattice parameters (Å, degrees): 7.079 12.290 7.105 90.00 109.43 90.00
Space group C2/m (No. 12)
Symmetry-distinct sites (fractional):
Th: 0.246 0.000 0.251 [4 per cell]
Th: 0.247 0.164 0.747 [8 per cell]
Ru: 0.000 0.000 0.500 [2 per cell]
Rh: 0.000 0.170 0.000 [4 per cell]
Rh: 0.000 0.334 0.500 [4 per cell]
Rh: 0.000 0.500 0.000 [2 per cell]

Below is a geometry-optimized ThRuRh structure, with properties calculated at the PBE-GGA level.

- polymorph energy (0 for the lowest one) (kJ/mol of atoms) = 0.0
- DOS(E_F) (states/eV/f.u.) = 2.22
- electronic total energy (eV/atom) = -8.44

Lattice parameters (Å, degrees): 5.048 4.603 5.650 90.00 111.97 90.00
Space group P2_1/m (No. 11)
Symmetry-distinct sites (fractional):
Th: 0.044 0.250 0.259 [2 per cell]
Ru: 0.407 0.750 0.588 [2 per cell]
Rh: 0.481 0.750 0.123 [2 per cell]

Below is a geometry-optimized ThRuRh2 structure, with properties calculated at the PBE-GGA level.

- DOS(E_F) (states/eV/f.u.) = 3.31
- electronic total energy (eV/atom) = -8.33

Lattice parameters (Å, degrees): 4.115 4.115 4.152 90.00 90.00 90.00
Space group P4/mmm (No. 123)
Symmetry-distinct sites (fractional):
Th: 0.000 0.000 0.000 [1 per cell]
Ru: 0.500 0.500 0.000 [1 per cell]
Rh: 0.000 0.500 0.500 [2 per cell]

Below is a geometry-optimized Th8RuRh5 structure, with properties calculated at the PBE-GGA level.

- DOS(E_F) (states/eV/f.u.) = 14.52
- electronic total energy (eV/atom) = -8.25

Lattice parameters (Å, degrees): 8.843 8.843 8.975 90.00 90.00 90.00
Space group I-4 (No. 82)
Symmetry-distinct sites (fractional):
Th: 0.053 0.195 0.319 [8 per cell]
Th: 0.056 0.300 0.930 [8 per cell]
Ru: 0.000 0.000 0.000 [2 per cell]
Rh: 0.000 0.500 0.250 [2 per cell]
Rh: 0.114 0.251 0.623 [8 per cell]

Below is a geometry-optimized ThRuRh structure, with properties calculated at the PBE-GGA level.

- polymorph energy (0 for the lowest one) (kJ/mol of atoms) = 6.3
- DOS(E_F) (states/eV/f.u.) = 5.85
- electronic total energy (eV/atom) = -8.38

Lattice parameters (Å, degrees): 4.3335 4.3335 3.9051 90.00 90.00 120.00
Space group P-6m2 (No. 187)
Symmetry-distinct sites (fractional):
Th: 0.0000 0.0000 0.0000 [1 per cell]
Ru: 0.6667 0.3333 0.5000 [1 per cell]
Rh: 0.3333 0.6667 0.5000 [1 per cell]

Below is a geometry-optimized ThZnRuRh structure, with properties calculated at the PBE-GGA level.

- polymorph energy (0 for the lowest one) (kJ/mol of atoms) = 7.3
- DOS(E_F) (states/eV/f.u.) = 1.83
- electronic total energy (eV/atom) = -6.79

Lattice parameters (Å, degrees): 6.617 6.617 6.617 90.00 90.00 90.00
Space group F-43m (No. 216)
Symmetry-distinct sites (fractional):
Th: 0.000 0.000 0.000 [4 per cell]
Zn: 0.000 0.000 0.500 [4 per cell]
Ru: 0.250 0.250 0.750 [4 per cell]
Rh: 0.250 0.250 0.250 [4 per cell]

Number 1: energy relative to the elements -0.8272 eV per atom, total moment 0.000 μB/cell. Number 2: energy relative to the elements -0.4265 eV per atom, total moment 0.000 μB/cell. Number 3: energy relative to the elements -0.4806 eV per atom, total moment 0.000 μB/cell. Number 4: energy relative to the elements -0.7263 eV per atom, total moment 0.000 μB/cell. Number 5: energy relative to the elements -0.3613 eV per atom, total moment 0.001 μB/cell. Number 6: energy relative to the elements -0.4645 eV per atom, total moment 0.000 μB/cell.